BaCoSiO4: optimized geometry, PBEsol.

Cell: 9.0815 9.0815 8.6135 Å, 90.00 90.00 120.00°
Space group P6_3 (No. 173)
Asymmetric unit:
Ba1 0.0000 0.0000 0.0000 x2
Ba2 0.3333 0.6667 0.4547 x2
Ba3 0.3333 0.6667 0.9588 x2
Co1 0.0130 0.6865 0.7738 x6
Si1 0.0125 0.6704 0.1716 x6
O1 0.0725 0.7301 0.9915 x6
O2 0.0872 0.8473 0.2723 x6
O3 0.0954 0.5533 0.2239 x6
O4 0.1959 0.4361 0.6870 x6

Calculated values
The calculation puts the uncorrected formation energy at -2.262 eV per atom.

---

Co2Pt: optimized geometry, PBEsol.

Cell: 5.1482 3.6672 7.6891 Å, 90.00 90.00 90.00°
Space group Pnma (No. 62)
Asymmetric unit:
Co1 0.1151 0.2500 0.2441 x4
Co2 0.1200 0.2500 0.9192 x4
Pt1 0.1344 0.2500 0.5895 x4

---

SnRhAu2N: optimized geometry, PBEsol.

Cell: 5.1410 5.1410 3.5755 Å, 90.00 90.00 90.00°
Space group P4/mmm (No. 123)
Asymmetric unit:
Sn1 0.0000 0.0000 0.0000 x1
Rh1 0.5000 0.5000 0.5000 x1
Au1 0.0000 0.5000 0.5000 x2
N1 0.5000 0.5000 0.0000 x1

Calculated values
The calculation puts the uncorrected formation energy at 0.416 eV per atom.

---

OsRhW2: optimized geometry, PBEsol.

Cell: 2.7241 2.7241 7.9549 Å, 90.00 90.00 90.00°
Space group P4mm (No. 99)
Asymmetric unit:
Os1 0.0000 0.0000 0.0000 x1
Rh1 0.5000 0.5000 0.2433 x1
W1 0.0000 0.0000 0.4862 x1
W2 0.5000 0.5000 0.7585 x1

Calculated values
Its energy relative to the lowest polymorph listed for this composition is 0.170 eV/atom.

---

MgSc2Ag: optimized geometry, PBEsol.

Cell: 3.4660 3.4660 6.9165 Å, 90.00 90.00 90.00°
Space group P4mm (No. 99)
Asymmetric unit:
Mg1 0.0000 0.0000 0.0000 x1
Sc1 0.0000 0.0000 0.5480 x1
Sc2 0.5000 0.5000 0.2718 x1
Ag1 0.5000 0.5000 0.7814 x1

---

NiTe3As: optimized geometry, PBEsol.

Cell: 4.9313 4.9313 4.9313 Å, 90.00 90.00 90.00°
Space group Pm-3m (No. 221)
Asymmetric unit:
Ni1 0.0000 0.0000 0.0000 x1
Te1 0.0000 0.0000 0.5000 x3
As1 0.5000 0.5000 0.5000 x1

Calculated values
The calculation puts the uncorrected formation energy at 0.404 eV per atom.

---

Er2IrRh: optimized geometry, PBEsol.

Cell: 6.6820 6.6820 6.6820 Å, 90.00 90.00 90.00°
Space group Fm-3m (No. 225)
Asymmetric unit:
Er1 0.2500 0.2500 0.2500 x8
Ir1 0.0000 0.0000 0.0000 x4
Rh1 0.0000 0.0000 0.5000 x4

---

Si2WCl: optimized geometry, PBEsol.

Cell: 7.9902 2.7764 7.5190 Å, 90.00 107.81 90.00°
Space group Cm (No. 8)
Asymmetric unit:
Si1 0.0000 0.0000 0.0000 x2
Si2 0.2302 0.0000 0.8302 x2
W1 0.4576 0.0000 0.6648 x2
Cl1 0.3481 0.5000 0.4006 x2

Calculated values
The calculation puts the uncorrected formation energy at 0.226 eV per atom. Its energy relative to the lowest polymorph listed for this composition is 0.080 eV/atom.

---

Number 1: final energy -314.78 eV for the cell shown. Number 2: final energy -90.39 eV for the cell shown. Number 3: final energy -26.69 eV for the cell shown. Number 4: final energy -47.58 eV for the cell shown. Number 5: final energy -18.76 eV for the cell shown. Number 6: final energy -19.82 eV for the cell shown. Number 7: final energy -125.76 eV for the cell shown. Number 8: final energy -52.81 eV for the cell shown.